No. 1
Material: Ba6P2Pt
Method: DFT, PBE-GGA
State: relaxed

Lattice parameters (Å, degrees): 4.666 9.525 10.594 104.10 102.72 90.00
Sites, in units of the cell vectors:
1 Ba 0.991 0.765 0.983
2 P 0.167 0.338 0.335
3 Ba 0.009 0.235 0.017
4 Pt 0.500 0.000 0.000
5 Ba 0.343 0.896 0.685
6 Ba 0.326 0.431 0.653
7 P 0.833 0.662 0.665
8 Ba 0.674 0.569 0.347
9 Ba 0.657 0.104 0.315

Energy of formation   -747 meV per atom
D(E_F)   5.073 states/eV/f.u.
Space-group type   No. 12

=====

No. 2
Material: Ba12PPt5
Method: DFT, PBE-GGA
State: relaxed

Lattice parameters (Å, degrees): 7.974 8.095 15.203 89.97 89.95 60.49
Sites, in units of the cell vectors:
1 Pt 0.167 0.665 0.500
2 Pt 0.833 0.335 0.500
3 Ba 0.835 0.000 0.390
4 Ba 0.002 0.668 0.111
5 Ba 0.502 0.666 0.389
6 Ba 0.169 0.334 0.389
7 P 0.000 0.000 0.000
8 Ba 0.998 0.332 0.889
9 Pt 0.667 0.667 0.000
10 Ba 0.334 0.000 0.112
11 Ba 0.670 0.332 0.111
12 Pt 0.333 0.333 0.000
13 Ba 0.498 0.334 0.611
14 Ba 0.330 0.668 0.889
15 Ba 0.666 0.000 0.888
16 Ba 0.831 0.666 0.611
17 Pt 0.500 0.000 0.500
18 Ba 0.165 0.000 0.610

Energy of formation   -643 meV per atom
D(E_F)   11.857 states/eV/f.u.
Space-group type   No. 12

=====

No. 3
Material: BaP2Pt
Method: DFT, PBE-GGA
State: relaxed

Lattice parameters (Å, degrees): 3.521 3.521 6.985 90.00 90.00 90.00
Sites, in units of the cell vectors:
1 P 0.500 0.500 0.287
2 Ba 0.500 0.500 0.767
3 P 0.000 0.000 0.056
4 Pt 0.000 0.000 0.391

Energy of formation   -143 meV per atom
D(E_F)   2.336 states/eV/f.u.
Space-group type   No. 99

=====

No. 4
Material: BaPPt2
Method: DFT, PBE-GGA
State: relaxed

Lattice parameters (Å, degrees): 6.265 6.265 6.265 39.90 39.90 39.90
Sites, in units of the cell vectors:
1 P 0.750 0.750 0.750
2 Ba 0.250 0.250 0.250
3 Pt 0.050 0.050 0.050
4 Pt 0.450 0.450 0.450

Energy of formation   -653 meV per atom
D(E_F)   2.391 states/eV/f.u.
Space-group type   No. 166

=====

No. 5
Material: BaP2Pt
Method: DFT, PBE-GGA
State: relaxed

Lattice parameters (Å, degrees): 4.996 4.996 4.996 60.00 60.00 60.00
Sites, in units of the cell vectors:
1 Ba 0.500 0.500 0.500
2 Pt 0.750 0.750 0.750
3 P 0.250 0.250 0.250
4 P 0.000 0.000 0.000

Energy of formation   280 meV per atom
D(E_F)   1.592 states/eV/f.u.
Space-group type   No. 216

=====

No. 6
Material: BaP2Pt
Method: DFT, PBE-GGA
State: relaxed

Lattice parameters (Å, degrees): 6.603 6.603 6.603 35.41 35.41 35.41
Sites, in units of the cell vectors:
1 Pt 0.250 0.250 0.250
2 P 0.532 0.532 0.532
3 Ba 0.750 0.750 0.750
4 P 0.968 0.968 0.968

Energy of formation   -757 meV per atom
D(E_F)   0.042 states/eV/f.u.
Space-group type   No. 166

=====

No. 7
Material: BaPuP2Pt4
Method: DFT, PBE-GGA
State: relaxed

Lattice parameters (Å, degrees): 4.076 4.076 10.534 90.00 90.00 90.00
Last column: magnetic moment on the atom in μB.
Sites, in units of the cell vectors:
1 Pt 0.500 0.000 0.209  -0.01
2 Ba 0.000 0.000 0.500  0.02
3 Pu 0.000 0.000 0.000  5.09
4 Pt 0.000 0.500 0.209  -0.01
5 P 0.500 0.500 0.678  0.01
6 Pt 0.500 0.000 0.791  -0.01
7 P 0.500 0.500 0.322  0.01
8 Pt 0.000 0.500 0.791  -0.01

Energy of formation   -726 meV per atom
D(E_F)   17.512 states/eV/f.u.
Space-group type   No. 123

=====

No. 8
Material: BaRePPt2
Method: DFT, PBE-GGA
State: relaxed

Lattice parameters (Å, degrees): 4.817 6.025 4.817 90.00 90.00 90.00
Sites, in units of the cell vectors:
1 Pt 0.500 0.000 0.000
2 Ba 0.000 0.500 0.000
3 Re 0.000 0.000 0.000
4 P 0.500 0.500 0.500
5 Pt 0.000 0.000 0.500

Energy of formation   1041 meV per atom
D(E_F)   5.947 states/eV/f.u.
Space-group type   No. 123

=====

No. 9
Material: BaP2PtS8
Method: DFT, PBE-GGA
State: relaxed

Lattice parameters (Å, degrees): 5.876 5.876 8.931 90.00 90.00 120.00
Sites, in units of the cell vectors:
1 P 0.333 0.667 0.726
2 S 0.327 0.010 0.669
3 S 0.333 0.667 0.951
4 P 0.667 0.333 0.274
5 Ba 0.000 0.000 0.000
6 S 0.317 0.327 0.331
7 Pt 0.000 0.000 0.500
8 S 0.683 0.673 0.669
9 S 0.667 0.333 0.049
10 S 0.990 0.317 0.669
11 S 0.010 0.683 0.331
12 S 0.673 0.990 0.331

Space-group type   No. 147

=====

No. 10
Material: BaSbPPt6
Method: DFT, PBE-GGA
State: relaxed

Lattice parameters (Å, degrees): 7.756 7.343 9.323 113.19 114.58 90.00
Sites, in units of the cell vectors:
1 Pt 0.195 0.336 0.795
2 Pt 0.597 0.347 0.194
3 Pt 0.403 0.653 0.806
4 Pt 0.600 0.959 0.795
5 Pt 0.133 0.883 0.267
6 Pt 0.867 0.117 0.733
7 P 0.500 0.000 0.000
8 Sb 0.000 0.000 0.500
9 Pt 0.600 0.336 0.795
10 Pt 0.400 0.041 0.205
11 Pt 0.400 0.664 0.205
12 Ba 0.905 0.655 0.811
13 Sb 0.500 0.000 0.500
14 Ba 0.095 0.345 0.189
15 P 0.500 0.500 0.000
16 Pt 0.805 0.664 0.205
17 Pt 0.195 0.959 0.795
18 Pt 0.805 0.041 0.205

D(E_F)   3.695 states/eV/f.u.
Space-group type   No. 74

=====

No. 11
Material: Ba2SbPPt6
Method: DFT, PBE-GGA
State: relaxed

Lattice parameters (Å, degrees): 6.654 7.236 6.653 70.42 52.38 91.26
Sites, in units of the cell vectors:
1 Pt 0.211 0.691 0.014
2 Ba 0.743 0.180 0.563
3 Ba 0.257 0.820 0.437
4 Pt 0.744 0.644 0.100
5 P 0.500 0.500 0.000
6 Pt 0.789 0.309 0.986
7 Pt 0.256 0.356 0.900
8 Pt 0.295 0.309 0.480
9 Sb 0.000 0.000 0.000
10 Pt 0.705 0.691 0.520

D(E_F)   3.936 states/eV/f.u.
Space-group type   No. 2

=====

No. 12
Material: Ba2SbP3Pt12
Method: DFT, PBE-GGA
State: relaxed

Lattice parameters (Å, degrees): 8.144 8.144 8.144 61.02 61.02 61.02
Sites, in units of the cell vectors:
1 Ba 0.611 0.611 0.611
2 Pt 0.623 0.112 0.112
3 Pt 0.665 0.091 0.665
4 Sb 0.000 0.000 0.000
5 Pt 0.112 0.623 0.112
6 Pt 0.888 0.377 0.888
7 Ba 0.389 0.389 0.389
8 P 0.500 0.000 0.000
9 Pt 0.091 0.665 0.665
10 P 0.000 0.500 0.000
11 P 0.000 0.000 0.500
12 Pt 0.335 0.335 0.909
13 Pt 0.665 0.665 0.091
14 Pt 0.112 0.112 0.623
15 Pt 0.377 0.888 0.888
16 Pt 0.888 0.888 0.377
17 Pt 0.909 0.335 0.335
18 Pt 0.335 0.909 0.335

D(E_F)   7.513 states/eV/f.u.
Space-group type   No. 166

=====

Table of E_tot (eV per atom), in record order: -3.9021 -3.9037 -4.8391 -5.5069 -4.4156 -5.4531 -7.1306 -5.3312 -4.8443 -5.6476 -5.6460 -5.6984